(1)
The following is a PBE calculation of a geometry-optimized ZnIrCl structure, from Alexandria via LeMat-Bulk.

As for the energy above the most stable polymorph in this dataset: 0.000 eV per atom. As for the total energy: -3.80 eV/atom. For the total magnetization, the calculation gives 0.5 μB per cell. The crystal system is trigonal.

It has space group P3m1 (No. 156), with a = 2.9499 Å, b = 2.9499 Å, c = 7.0878 Å, α = 90.00°, β = 90.00° and γ = 120.00°. The asymmetric unit holds Zn at (0.0000, 0.0000, 0.0000), Ir at (0.3333, 0.6667, 0.7207) and Cl at (0.6667, 0.3333, 0.2443).


(2)
The following is a PBE calculation of a geometry-optimized ZnIr4Cl structure, from Alexandria via LeMat-Bulk.

As for the total energy: -5.51 eV/atom. For the total magnetization, the calculation gives 17.7 μB per cell. The crystal system is cubic.

It has space group F-43m (No. 216), with a = 7.456 Å, b = 7.456 Å, c = 7.456 Å, α = 90.00°, β = 90.00° and γ = 90.00°. The asymmetric unit holds Zn at (0.000, 0.000, 0.000), Ir at (0.125, 0.125, 0.375) and Cl at (0.250, 0.250, 0.750).


(3)
The following is a PBE calculation of a geometry-optimized ZnIr3Cl structure, from Alexandria via LeMat-Bulk.

As for the energy above the most stable polymorph in this dataset: 0.466 eV per atom. As for the total energy: -4.01 eV/atom. For the total magnetization, the calculation gives 4.3 μB per cell. The crystal system is cubic.

It has space group Pm-3m (No. 221), with a = 4.660 Å, b = 4.660 Å, c = 4.660 Å, α = 90.00°, β = 90.00° and γ = 90.00°. The asymmetric unit holds Zn at (0.000, 0.000, 0.000), Ir at (0.000, 0.000, 0.500) and Cl at (0.500, 0.500, 0.500).


Number 1 is which compound?
ZnIrCl